DFT (GGA-PBEsol) results for a geometry-optimized AsPRuCl2 structure.

Results
- volume (Å³/cell) = 97
- total DFT energy (no corrections) (eV per cell) = -22.71
- formation energy from raw total energies (eV/f.u.) = 2.38

Cell and atoms, written as POSCAR:
```
AsPRuCl2
1.0
4.587 0.000 0.000
0.000 4.598 0.000
0.000 0.000 4.598
Cl P As Ru
2 1 1 1
direct
0.000 0.000 0.500
0.000 0.500 0.000
0.500 0.000 0.000
0.500 0.500 0.500
0.000 0.000 0.000
```